VASP calculation (GGA-PBEsol) on an optimized crystal structure of CrHgGe2Pt.

Cell: 4.589 4.589 4.641 Å, 90.00 90.00 90.00°
Space group P4/mmm (No. 123)
Inequivalent atoms, fractional coordinates:
Cr1 0.000 0.000 0.000 x1
Hg1 0.500 0.500 0.500 x1
Ge1 0.000 0.500 0.000 x2
Pt1 0.000 0.000 0.500 x1

Summary:
N(E_F): 3.93 states/eV/cell
DFT formation energy: 526 meV per atom
total DFT energy (no corrections): -5.004 eV/atom
M_tot: 0.000 μB/atom